# CuSb5Pt3, optimized geometry, DFT PBE
# Total DFT energy (no corrections): -4.620 eV/atom
data_CuSb5Pt3
_chemical_formula_sum 'Cu1 Sb5 Pt3'
_cell_length_a 5.5919
_cell_length_b 5.5919
_cell_length_c 8.0765
_cell_angle_alpha 90.00
_cell_angle_beta 90.00
_cell_angle_gamma 120.00
_symmetry_space_group_name_H-M 'P 6/m m m'
_symmetry_Int_Tables_number 191
_symmetry_space_group_name_Hall '-P 6 2'
loop_
_atom_site_label
_atom_site_fract_x
_atom_site_fract_y
_atom_site_fract_z
_atom_site_occupancy
Cu1 0.0000 0.0000 0.0000 1
Sb1 0.0000 0.0000 0.5000 1
Sb2 0.3333 0.6667 0.2054 1
Pt1 0.0000 0.5000 0.5000 1

# KDySO, optimized geometry, DFT PBE
# ΔE to the lowest computed polymorph: 269 meV per atom
data_KDySO
_chemical_formula_sum 'K2 Dy2 S2 O2'
_cell_length_a 4.0426
_cell_length_b 4.0426
_cell_length_c 9.7891
_cell_angle_alpha 90.00
_cell_angle_beta 90.00
_cell_angle_gamma 90.00
_symmetry_space_group_name_H-M 'P 4/n m m'
_symmetry_Int_Tables_number 129
loop_
_symmetry_equiv_pos_as_xyz
'x,y,z'
'-x,-y,-z'
'-y+1/2,x,z'
'y+1/2,-x,-z'
'-x+1/2,-y+1/2,z'
'x+1/2,y+1/2,-z'
'y,-x+1/2,z'
'-y,x+1/2,-z'
'x+1/2,-y,-z'
'-x+1/2,y,z'
'-y,-x,-z'
'y,x,z'
'-x,y+1/2,-z'
'x,-y+1/2,z'
'y+1/2,x+1/2,-z'
'-y+1/2,-x+1/2,z'
loop_
_atom_site_label
_atom_site_fract_x
_atom_site_fract_y
_atom_site_fract_z
_atom_site_occupancy
K1 0.2500 0.7500 0.0000 1
Dy1 0.2500 0.2500 0.3947 1
S1 0.2500 0.2500 0.7753 1
O1 0.2500 0.7500 0.5000 1

# Er2Si3Mo2, optimized geometry, DFT PBE
# Total DFT energy (no corrections): -7.050 eV/atom
data_Er2Si3Mo2
_chemical_formula_sum 'Er4 Si6 Mo4'
_cell_length_a 14.9168
_cell_length_b 3.8020
_cell_length_c 4.7835
_cell_angle_alpha 90.00
_cell_angle_beta 104.57
_cell_angle_gamma 90.00
_symmetry_space_group_name_H-M 'C 1 2/m 1'
_symmetry_Int_Tables_number 12
_symmetry_space_group_name_Hall '-C 2y'
loop_
_atom_site_label
_atom_site_fract_x
_atom_site_fract_y
_atom_site_fract_z
_atom_site_occupancy
Er1 0.0938 0.0000 0.2275 1
Si1 0.0000 0.5000 0.5000 1
Si2 0.2376 0.5000 0.3261 1
Mo1 0.1680 0.5000 0.7855 1

# Al3FeNi5, optimized geometry, DFT PBE
# Total DFT energy (no corrections): -4.870 eV/atom
data_Al3FeNi5
_chemical_formula_sum 'Al3 Fe1 Ni5'
_cell_length_a 5.2843
_cell_length_b 5.3126
_cell_length_c 5.3011
_cell_angle_alpha 90.00
_cell_angle_beta 90.71
_cell_angle_gamma 90.00
_symmetry_space_group_name_H-M 'P 1 2 1'
_symmetry_Int_Tables_number 3
_symmetry_space_group_name_Hall 'P 2y'
loop_
_atom_site_label
_atom_site_fract_x
_atom_site_fract_y
_atom_site_fract_z
_atom_site_occupancy
Al1 0.0000 0.0000 0.0000 1
Al2 0.0000 0.4955 0.5000 1
Al3 0.5000 0.4987 0.0000 1
Fe1 0.5000 0.9935 0.5000 1
Ni1 0.0000 0.4892 0.0000 1
Ni2 0.2587 0.7557 0.2602 1
Ni3 0.2643 0.2332 0.7374 1

Number 1: magnetization 0.01 μB per formula unit. Number 2: magnetization 0.00 μB per formula unit. Number 3: magnetization 0.01 μB per formula unit. Number 4: magnetization 2.68 μB per formula unit.